1.
# Be2Pd3Au

Be2Pd3Au after structural relaxation (PBE-GGA, OQMD via LeMat-Bulk).

Cell lengths 2.8125, 2.8125, 9.8594 Å; angles 90.00, 90.00, 90.00 degrees
Sites, in units of the cell vectors:
1 Pd 0.5000 0.5000 0.6453
2 Pd 0.0000 0.0000 0.8540
3 Be 0.5000 0.5000 0.9858
4 Pd 0.5000 0.5000 0.3635
5 Be 0.0000 0.0000 0.5050
6 Au 0.0000 0.0000 0.1465

Output
Total DFT energy (no corrections): -28.9 eV/cell


2.
# PmTm2

PmTm2 after structural relaxation (PBE-GGA, OQMD via LeMat-Bulk).

Cell lengths 5.4093, 5.4093, 5.4093 Å; angles 60.00, 60.00, 60.00 degrees
Sites, in units of the cell vectors:
1 Tm 0.2500 0.2500 0.2500
2 Tm 0.7500 0.7500 0.7500
3 Pm 0.0000 0.0000 0.0000

Output
Total magnetic moment: 0.014 μB/atom
Distance to the lowest polymorph of the same formula: 481 meV/atom
Energy of formation: 769 meV per atom


3.
# Cs2Pd2S3

Cs2Pd2S3 after structural relaxation (PBE-GGA, OQMD via LeMat-Bulk).

Cell lengths 7.4148, 7.4148, 7.4148 Å; angles 61.68, 61.68, 61.68 degrees
Sites, in units of the cell vectors:
1 S 0.0000 0.0000 0.5000
2 Pd 0.1950 0.1950 0.1950
3 Cs 0.5000 0.5000 0.5000
4 S 0.5000 0.0000 0.0000
5 Cs 0.0000 0.0000 0.0000
6 S 0.0000 0.5000 0.0000
7 Pd 0.8050 0.8050 0.8050

Output
Distance to the lowest polymorph of the same formula: 0 meV/atom


Please write out number 3 again, unchanged.
# Cs2Pd2S3

Cs2Pd2S3 after structural relaxation (PBE-GGA, OQMD via LeMat-Bulk).

Cell lengths 7.4148, 7.4148, 7.4148 Å; angles 61.68, 61.68, 61.68 degrees
Sites, in units of the cell vectors:
1 S 0.0000 0.0000 0.5000
2 Pd 0.1950 0.1950 0.1950
3 Cs 0.5000 0.5000 0.5000
4 S 0.5000 0.0000 0.0000
5 Cs 0.0000 0.0000 0.0000
6 S 0.0000 0.5000 0.0000
7 Pd 0.8050 0.8050 0.8050

Output
Distance to the lowest polymorph of the same formula: 0 meV/atom


What did the first record say?
# Be2Pd3Au

Be2Pd3Au after structural relaxation (PBE-GGA, OQMD via LeMat-Bulk).

Cell lengths 2.8125, 2.8125, 9.8594 Å; angles 90.00, 90.00, 90.00 degrees
Sites, in units of the cell vectors:
1 Pd 0.5000 0.5000 0.6453
2 Pd 0.0000 0.0000 0.8540
3 Be 0.5000 0.5000 0.9858
4 Pd 0.5000 0.5000 0.3635
5 Be 0.0000 0.0000 0.5050
6 Au 0.0000 0.0000 0.1465

Output
Total DFT energy (no corrections): -28.9 eV/cell